Record 1
First-principles (meta-GGA SCAN) data for a PBEsol-optimized structure of La3In, as listed in Alexandria via LeMat-Bulk.

## Properties
**Mass density**: 7.008 g/cm³
**Excess energy over the best structure of this formula in the dataset**: 109 meV per atom

The structure in POSCAR format:
```
La3In
1.0
3.6890 0.0000 0.0000
0.0000 3.6890 0.0000
0.0000 0.0000 9.2550
La In
3 1
Cartesian
1.8445 1.8445 7.1412 La
0.0000 0.0000 4.6275 La
1.8445 1.8445 2.1139 La
0.0000 0.0000 0.0000 In
```

=====

Record 2
First-principles (meta-GGA SCAN) data for a PBEsol-optimized structure of AgPdBr2N, as listed in Alexandria via LeMat-Bulk.

## Properties
**Uncorrected formation energy**: 5.179 eV per formula unit
**Mass density**: 7.051 g/cm³

The structure in POSCAR format:
```
AgPdBr2N
1.0
4.0484 0.0000 0.0000
0.0000 4.7516 0.0000
0.0000 0.0000 4.7516
Br Pd Ag N
2 1 1 1
Cartesian
0.0000 0.0000 2.3758 Br
0.0000 2.3758 0.0000 Br
2.0242 2.3758 2.3758 Pd
2.0242 0.0000 0.0000 Ag
0.0000 0.0000 0.0000 N
```

=====

Record 3
First-principles (meta-GGA SCAN) data for a PBEsol-optimized structure of CdNiW2, as listed in Alexandria via LeMat-Bulk.

## Properties
**Mass density**: 14.552 g/cm³
**E_tot**: -184.3 eV per cell

The structure in POSCAR format:
```
CdNiW2
1.0
-1.0329 -2.9828 -0.4129
0.7529 0.1668 -3.0887
5.5558 -2.0958 1.2412
Cd Ni W
1 1 2
Cartesian
2.9000 -1.0939 0.6478 Cd
4.0906 -3.0039 -0.8057 Ni
5.5384 -2.0892 1.2373 W
1.0806 -1.8684 -1.4781 W
```

=====

Record 4
First-principles (meta-GGA SCAN) data for a PBEsol-optimized structure of Si3SbRh, as listed in Alexandria via LeMat-Bulk.

## Properties
**Uncorrected formation energy**: 9.936 eV per formula unit
**Mass density**: 4.275 g/cm³

The structure in POSCAR format:
```
Si3SbRh
1.0
-4.8054 1.1104 0.0449
-0.5817 -2.3437 -4.3006
-0.9468 -4.1953 2.4144
Sb Si Rh
1 3 1
Cartesian
0.0000 0.0000 0.0000 Sb
-0.2909 -1.1718 -2.1503 Si
-0.4734 -2.0977 1.2072 Si
-2.4027 0.5552 0.0225 Si
-3.1670 -2.7143 -0.9207 Rh
```